Below is crystalline Ba2NaLaBi at its relaxed geometry, with properties calculated at the PBE level.

Calculated values
Its size of the total moment is 0.200 μB per atom. The energy relative to the elements is -12.1 kJ/mol of atoms.

Cell: 6.873 6.263 6.873 Å, 90.00 90.00 90.00°
Each line ends with the local moment (μB).
Fractional coordinates of all 5 atoms:
Ba 0.000 0.000 0.500  0.05
Ba 0.500 0.000 0.000  0.06
Na 0.500 0.500 0.500  0.00
Bi 0.000 0.000 0.000  0.00
La 0.000 0.500 0.000  0.14


Below is crystalline Ba4LaBi3O12 at its relaxed geometry, with properties calculated at the PBE level.

Calculated values
The formation energy (no corrections) is -2.039 eV/atom. Its size of the total moment is 0.000 μB per atom.

Cell: 7.713 7.713 7.713 Å, 109.47 109.47 109.47°
Fractional coordinates of all 20 atoms:
Ba 0.500 0.500 0.500
Ba 0.000 0.000 0.500
Ba 0.500 0.000 0.000
Ba 0.000 0.500 0.000
La 0.000 0.000 0.000
Bi 0.500 0.000 0.500
Bi 0.500 0.500 0.000
Bi 0.000 0.500 0.500
O 0.250 0.500 0.750
O 0.741 0.000 0.741
O 0.259 0.000 0.259
O 0.750 0.500 0.250
O 0.741 0.741 0.000
O 0.259 0.259 0.000
O 0.750 0.250 0.500
O 0.250 0.750 0.500
O 0.500 0.250 0.750
O 0.000 0.741 0.741
O 0.500 0.750 0.250
O 0.000 0.259 0.259


Below is crystalline Ba2LaBiO at its relaxed geometry, with properties calculated at the PBE level.

Calculated values
The formation energy (no corrections) is -1.395 eV/atom. Its size of the total moment is 0.010 μB per atom.

Cell: 5.581 5.581 4.991 Å, 90.00 90.00 90.00°
Fractional coordinates of all 5 atoms:
Ba 0.000 0.500 0.000
Ba 0.500 0.000 0.000
Bi 0.500 0.500 0.500
O 0.000 0.000 0.000
La 0.000 0.000 0.500


Below is crystalline BaLaBiO4 at its relaxed geometry, with properties calculated at the PBE level.

Calculated values
The formation energy (no corrections) is -2.405 eV/atom. Its size of the total moment is 0.000 μB per atom.

Cell: 7.320 7.385 7.511 Å, 120.57 90.00 119.71°
Fractional coordinates of all 14 atoms:
Ba 0.876 0.752 0.126
Ba 0.124 0.248 0.874
La 0.500 0.000 0.500
La 0.500 0.000 0.000
Bi 0.500 0.500 0.500
Bi 0.000 0.500 0.500
O 0.734 0.468 0.700
O 0.305 0.035 0.268
O 0.731 0.035 0.268
O 0.734 0.468 0.268
O 0.266 0.532 0.732
O 0.695 0.965 0.732
O 0.269 0.965 0.732
O 0.266 0.532 0.300


Below is crystalline BaLaBi2O8 at its relaxed geometry, with properties calculated at the PBE level.

Calculated values
The formation energy (no corrections) is -1.581 eV/atom. Its size of the total moment is 0.093 μB per atom.

Cell: 5.767 5.767 7.226 Å, 113.52 113.52 90.00°
Each line ends with the local moment (μB).
Fractional coordinates of all 12 atoms:
Ba 0.750 0.250 0.500  0.00
La 0.000 0.000 0.000  -0.01
Bi 0.500 0.500 0.000  -0.01
Bi 0.250 0.750 0.500  -0.02
O 0.793 0.817 0.175  0.12
O 0.382 0.358 0.175  0.12
O 0.591 0.678 0.694  0.12
O 0.103 0.016 0.694  0.12
O 0.984 0.409 0.306  0.12
O 0.322 0.897 0.306  0.12
O 0.183 0.618 0.825  0.12
O 0.642 0.207 0.825  0.12


Below is crystalline Ba2LaBiO6 at its relaxed geometry, with properties calculated at the PBE level.

Calculated values
The formation energy (no corrections) is -2.369 eV/atom. Its size of the total moment is 0.000 μB per atom.

Cell: 6.258 6.258 6.327 Å, 60.21 60.21 60.16°
Fractional coordinates of all 10 atoms:
Ba 0.752 0.752 0.238
Ba 0.248 0.248 0.762
Bi 0.500 0.500 0.000
O 0.698 0.216 0.808
O 0.784 0.302 0.192
O 0.302 0.784 0.192
O 0.216 0.698 0.808
O 0.264 0.264 0.313
O 0.736 0.736 0.687
La 0.000 0.000 0.500


Below is crystalline Ba2LaSiBi at its relaxed geometry, with properties calculated at the PBE level.

Calculated values
The formation energy (no corrections) is 0.764 eV/atom. Its size of the total moment is 0.001 μB per atom.

Cell: 6.449 6.449 6.034 Å, 90.00 90.00 90.00°
Fractional coordinates of all 5 atoms:
Ba 0.000 0.500 0.000
Ba 0.500 0.000 0.000
Si 0.500 0.500 0.500
Bi 0.000 0.000 0.500
La 0.000 0.000 0.000


Below is crystalline Ba2LaThBi4 at its relaxed geometry, with properties calculated at the PBE level.

Calculated values
Its size of the total moment is 0.000 μB per atom. The energy relative to the elements is -80.6 kJ/mol of atoms.

Cell: 4.802 8.349 8.595 Å, 108.79 90.00 90.00°
Fractional coordinates of all 8 atoms:
Ba 0.500 0.000 0.500
Ba 0.000 0.500 0.500
La 0.500 0.500 0.000
Th 0.000 0.000 0.000
Bi 0.500 0.235 0.219
Bi 0.500 0.765 0.781
Bi 0.000 0.254 0.779
Bi 0.000 0.746 0.221


Below is crystalline BaLi2Bi at its relaxed geometry, with properties calculated at the PBE level.

Calculated values
Its size of the total moment is 0.000 μB per atom. The energy relative to the elements is -51.9 kJ/mol of atoms.

Cell: 4.894 4.894 11.111 Å, 90.00 90.00 90.00°
Fractional coordinates of all 8 atoms:
Ba 0.500 0.000 0.262
Ba 0.000 0.500 0.738
Li 0.500 0.000 0.911
Li 0.000 0.500 0.089
Li 0.000 0.000 0.500
Li 0.500 0.500 0.500
Bi 0.500 0.000 0.649
Bi 0.000 0.500 0.351


Below is crystalline BaLi3Bi3 at its relaxed geometry, with properties calculated at the PBE level.

Calculated values
Its size of the total moment is 0.000 μB per atom. The energy relative to the elements is -37.2 kJ/mol of atoms.

Cell: 5.248 10.787 10.787 Å, 120.03 90.00 90.00°
Fractional coordinates of all 14 atoms:
Ba 0.750 0.333 0.667
Ba 0.250 0.667 0.333
Li 0.750 0.734 0.106
Li 0.750 0.373 0.266
Li 0.750 0.894 0.627
Li 0.250 0.266 0.894
Li 0.250 0.627 0.734
Li 0.250 0.106 0.373
Bi 0.750 0.968 0.401
Bi 0.750 0.433 0.032
Bi 0.750 0.599 0.567
Bi 0.250 0.032 0.599
Bi 0.250 0.567 0.968
Bi 0.250 0.401 0.433


Below is crystalline Ba2Li3Bi2 at its relaxed geometry, with properties calculated at the PBE level.

Calculated values
Its size of the total moment is 0.113 μB per atom. The energy relative to the elements is -58.1 kJ/mol of atoms.

Cell: 4.992 6.721 7.656 Å, 106.71 90.00 111.80°
Each line ends with the local moment (μB).
Fractional coordinates of all 7 atoms:
Ba 0.862 0.725 0.242  0.06
Ba 0.138 0.275 0.758  0.06
Li 0.500 0.000 0.000  0.00
Li 0.640 0.281 0.426  0.03
Li 0.360 0.719 0.574  0.03
Bi 0.849 0.698 0.762  0.00
Bi 0.151 0.302 0.238  0.00


Below is crystalline BaLiBi3 at its relaxed geometry, with properties calculated at the PBE level.

Calculated values
Its size of the total moment is 0.000 μB per atom. The energy relative to the elements is -34.7 kJ/mol of atoms.

Cell: 5.435 5.435 5.435 Å, 90.00 90.00 90.00°
Fractional coordinates of all 5 atoms:
Li 0.000 0.000 0.000
Bi 0.000 0.500 0.000
Bi 0.000 0.000 0.500
Bi 0.500 0.000 0.000
Ba 0.500 0.500 0.500


- Which of these has the highest size of the total moment?
  Ba2NaLaBi